A relaxed structure of Li4MnCr3P4O16. Source: Alexandria via LeMat-Bulk, functional GGA+U.

a = 4.7829 Å, b = 6.3144 Å, c = 10.3215 Å
α = 90.00°, β = 90.67°, γ = 90.00°
Last column: nearest neighbours and their distance in Å.
Space group Pm (No. 6)
One atom of each set of equivalent atoms:
Li 0.0000 0.2470 0.0000 [2 per cell]  6 O 2.13-2.34
Li 0.5112 0.2480 0.4938 [2 per cell]  6 O 2.13-2.27
Mn 0.5397 0.0000 0.7792 [1 per cell]  6 O 2.14-2.30
Cr 0.0596 0.5000 0.7127 [1 per cell]  4 O 2.06-2.17
Cr 0.4524 0.5000 0.2120 [1 per cell]  4 O 2.08-2.14
Cr 0.9527 0.0000 0.2820 [1 per cell]  4 O 2.07-2.15
P 0.0935 0.0000 0.5871 [1 per cell]  4 O 1.54-1.57
P 0.4129 0.0000 0.0928 [1 per cell]  4 O 1.55-1.56
P 0.5938 0.5000 0.9038 [1 per cell]  4 O 1.55-1.56
P 0.9234 0.5000 0.4033 [1 per cell]  4 O 1.55-1.56
O 0.2077 0.0000 0.4459 [1 per cell]  1 P 1.56
O 0.2292 0.1956 0.6567 [2 per cell]  1 P 1.57
O 0.2469 0.5000 0.3951 [1 per cell]  1 P 1.55
O 0.2703 0.5000 0.8938 [1 per cell]  1 P 1.55
O 0.2840 0.1978 0.1603 [2 per cell]  1 P 1.56
O 0.2954 0.0000 0.9515 [1 per cell]  1 P 1.56
O 0.6994 0.5000 0.0477 [1 per cell]  1 P 1.56
O 0.7266 0.3010 0.8386 [2 per cell]  1 P 1.56
O 0.7372 0.0000 0.0999 [1 per cell]  1 P 1.55
O 0.7718 0.0000 0.5910 [1 per cell]  1 P 1.54
O 0.7882 0.3026 0.3371 [2 per cell]  1 P 1.56
O 0.8181 0.5000 0.5461 [1 per cell]  1 P 1.56

Values from the calculation:
DFT total energy, eV/atom: -7.144
M_tot, Bohr magnetons per cell: 17.0
Theoretical density, Mg/m³: 3.30